[1]
A plane-wave DFT calculation with PBE-GGA was carried out for a relaxed structure of Tm3Mg3Al2Tl.

Cell lengths 7.327, 7.327, 4.562 Å; angles 90.00, 90.00, 120.00 degrees
Positions (direct):
Mg: 0.752 0.752 0.500
Tm: 0.000 0.563 0.000
Al: 0.333 0.667 0.500
Tm: 0.437 0.437 0.000
Mg: 0.248 0.000 0.500
Tm: 0.563 0.000 0.000
Mg: 0.000 0.248 0.500
Tl: 0.000 0.000 0.000
Al: 0.667 0.333 0.500

Values from the calculation:
crystal system	hexagonal
calculated total energy	-3.39	eV/atom

[2]
A plane-wave DFT calculation with PBE-GGA was carried out for a relaxed structure of Nd3GaP.

Cell lengths 6.877, 6.877, 10.714 Å; angles 90.00, 90.00, 145.17 degrees
Positions (direct):
Nd: 0.640 0.360 0.566
P: 0.000 0.000 0.500
Ga: 0.251 0.749 0.750
Nd: 0.928 0.072 0.750
Nd: 0.360 0.640 0.434
Nd: 0.072 0.928 0.250
Nd: 0.360 0.640 0.066
Ga: 0.749 0.251 0.250
P: 0.000 0.000 0.000
Nd: 0.640 0.360 0.934

Values from the calculation:
crystal system	orthorhombic
calculated total energy	-5.36	eV/atom

[3]
A plane-wave DFT calculation with PBE-GGA was carried out for a relaxed structure of AcPuPd.

Cell lengths 4.981, 4.981, 4.981 Å; angles 60.00, 60.00, 60.00 degrees
Positions (direct):
Pd: 0.250 0.250 0.250
Ac: 0.000 0.000 0.000
Pu: 0.750 0.750 0.750

Values from the calculation:
crystal system	cubic
E above lowest polymorph	0.46	eV/f.u.
calculated total energy	-7.52	eV/atom
ΔH_f (0 K)	0.849	eV per formula unit